First-principles (PBE) data for an optimized crystal structure of Ho6BiTe3P2, as listed in Alexandria.

Cell: 4.187 8.596 9.561 Å, 103.90 102.65 90.00°
Sites, in units of the cell vectors:
1 Ho 0.327 0.876 0.655
2 Ho 0.981 0.739 0.963
3 Ho 0.322 0.436 0.645
4 Ho 0.673 0.124 0.345
5 Ho 0.019 0.261 0.037
6 Ho 0.678 0.564 0.355
7 Te 0.500 0.500 0.000
8 Te 0.840 0.166 0.680
9 Te 0.160 0.834 0.320
10 P 0.830 0.660 0.660
11 P 0.170 0.340 0.340
12 Bi 0.500 0.000 0.000

Values from the calculation:
- Formation energy (no corrections): -1.37 eV per atom
- Total magnetic moment: 0.00 μB per atom
- Raw total energy: -5.668 eV/atom
- D(E_F): 4.29 states/eV/f.u.

First-principles (PBE) data for an optimized crystal structure of Mg5Cd2Ag, as listed in Alexandria.

Cell: 4.870 5.695 13.840 Å, 90.00 90.00 115.31°
Sites, in units of the cell vectors:
1 Mg 0.631 0.263 0.952
2 Mg 0.369 0.737 0.048
3 Mg 0.070 0.139 0.403
4 Mg 0.930 0.861 0.597
5 Mg 0.070 0.139 0.097
6 Mg 0.369 0.737 0.452
7 Mg 0.522 0.044 0.250
8 Mg 0.478 0.956 0.750
9 Mg 0.930 0.861 0.903
10 Mg 0.631 0.263 0.548
11 Ag 0.756 0.511 0.750
12 Ag 0.244 0.489 0.250
13 Cd 0.777 0.554 0.362
14 Cd 0.223 0.446 0.638
15 Cd 0.223 0.446 0.862
16 Cd 0.777 0.554 0.138

Values from the calculation:
- Total magnetic moment: 0.00 μB per atom
- Formation energy: -0.072 eV/atom
- Raw total energy: -1.654 eV/atom
- D(E_F): 2.44 states/eV/f.u.
- ΔE to the lowest computed polymorph: 0.10 eV/f.u.

First-principles (PBE) data for an optimized crystal structure of Zn2AsSe, as listed in Alexandria.

Cell: 5.779 5.779 6.934 Å, 65.38 65.38 90.00°
Sites, in units of the cell vectors:
1 As 0.250 0.750 0.500
2 As 0.500 0.500 0.000
3 Se 0.750 0.250 0.500
4 Se 0.000 0.000 0.000
5 Zn 0.375 0.380 0.750
6 Zn 0.130 0.625 0.250
7 Zn 0.620 0.125 0.250
8 Zn 0.875 0.870 0.750

Values from the calculation:
- Formation energy (no corrections): -0.27 eV per atom
- Total magnetic moment: 0.00 μB per atom
- Raw total energy: -2.945 eV/atom
- D(E_F): 3.46 states/eV/f.u.